[1]
Below is a geometry-optimized SrNdRu structure, with properties calculated at the GGA-PBE level.

Computed properties:
Energy relative to the elements   0.066 eV per atom
Total magnetic moment   0.00 μB per formula unit
Calculated density   6.2 g/cm³

Cell lengths 7.4070, 7.4070, 7.4070 Å; angles 151.95, 151.95, 40.09 degrees
Closest atoms and distances in Å follow each position.
Atoms (fractional coordinates):
Sr1 0.0000 0.0000 0.0000  4 Ru 3.22, 1 Nd 3.45, 4 Sr 3.59
Nd1 0.2480 0.2480 0.0000  4 Ru 2.93
Ru1 0.6427 0.6427 0.0000  4 Nd 2.93, 4 Sr 3.22

[2]
Below is a geometry-optimized SrNd2Ru structure, with properties calculated at the GGA-PBE level.

Computed properties:
Energy relative to the elements   -0.061 eV per atom
Total magnetic moment   0.00 μB per formula unit
Calculated density   5.5 g/cm³

Cell lengths 9.8654, 9.8654, 9.8654 Å; angles 24.49, 24.49, 24.49 degrees
Closest atoms and distances in Å follow each position.
Atoms (fractional coordinates):
Sr1 0.0000 0.0000 0.0000  6 Nd 4.08-4.13, 6 Sr 4.18
Nd1 0.5499 0.5499 0.5499  3 Ru 2.82
Nd2 0.7813 0.7813 0.7813  3 Ru 2.82
Ru1 0.1656 0.1656 0.1656  6 Nd 2.82

[3]
Below is a geometry-optimized SrNd2Ru structure, with properties calculated at the GGA-PBE level.

Computed properties:
Energy relative to the elements   -0.057 eV per atom
Total magnetic moment   0.00 μB per formula unit
Calculated density   5.4 g/cm³

Cell lengths 9.9526, 9.9526, 9.9526 Å; angles 24.23, 24.23, 24.23 degrees
Closest atoms and distances in Å follow each position.
Atoms (fractional coordinates):
Sr1 0.0000 0.0000 0.0000  6 Nd 4.14, 6 Sr 4.18
Nd1 0.2172 0.2172 0.2172  3 Ru 2.82
Nd2 0.7828 0.7828 0.7828  3 Ru 2.82
Ru1 0.5000 0.5000 0.5000  6 Nd 2.82

[4]
Below is a geometry-optimized SrNd2Ru structure, with properties calculated at the GGA-PBE level.

Computed properties:
Energy relative to the elements   -0.051 eV per atom
Total magnetic moment   0.00 μB per formula unit
Calculated density   6.1 g/cm³

Cell lengths 3.5680, 3.5680, 10.2570 Å; angles 90.00, 90.00, 90.00 degrees
Closest atoms and distances in Å follow each position.
Atoms (fractional coordinates):
Sr1 0.0000 0.0000 0.0000  4 Sr 3.57
Nd1 0.5000 0.5000 0.3359  4 Ru 3.03, 1 Nd 3.37
Nd2 0.5000 0.5000 0.6641  4 Ru 3.03, 1 Nd 3.37
Ru1 0.0000 0.0000 0.5000  8 Nd 3.03

[5]
Below is a geometry-optimized NdTaRu2 structure, with properties calculated at the GGA-PBE level.

Computed properties:
Energy relative to the elements   -0.271 eV per atom
Total magnetic moment   0.00 μB per formula unit
Calculated density   11.7 g/cm³

Cell lengths 3.2211, 3.2211, 7.2008 Å; angles 90.00, 90.00, 90.00 degrees
Closest atoms and distances in Å follow each position.
Atoms (fractional coordinates):
Nd1 0.0000 0.0000 0.0000  8 Ru 3.10, 4 Nd 3.22
Ta1 0.0000 0.0000 0.5000  8 Ru 2.72
Ru1 0.5000 0.5000 0.2930  4 Ta 2.72, 1 Ru 2.98
Ru2 0.5000 0.5000 0.7070  4 Ta 2.72, 1 Ru 2.98

[6]
Below is a geometry-optimized NdTa2Ru2 structure, with properties calculated at the GGA-PBE level.

Computed properties:
Energy relative to the elements   -0.275 eV per atom
Total magnetic moment   0.00 μB per formula unit
Calculated density   11.3 g/cm³

Cell lengths 6.2343, 6.2343, 6.2343 Å; angles 138.87, 138.87, 59.57 degrees
Closest atoms and distances in Å follow each position.
Atoms (fractional coordinates):
Nd1 0.0000 0.0000 0.0000  8 Ru 3.37, 8 Ta 3.48
Ta1 0.2500 0.7500 0.5000  4 Ru 2.59
Ta2 0.7500 0.2500 0.5000  4 Ru 2.59
Ru1 0.3782 0.3782 0.0000  4 Ta 2.59, 1 Ru 2.64
Ru2 0.6218 0.6218 0.0000  4 Ta 2.59, 1 Ru 2.64

[7]
Below is a geometry-optimized NdTaRu structure, with properties calculated at the GGA-PBE level.

Computed properties:
Energy relative to the elements   -0.209 eV per atom
Total magnetic moment   0.00 μB per formula unit
Calculated density   10.3 g/cm³

Cell lengths 4.5074, 4.5074, 6.7709 Å; angles 90.00, 90.00, 90.00 degrees
Closest atoms and distances in Å follow each position.
Atoms (fractional coordinates):
Nd1 0.2500 0.2500 0.1407  5 Ru 3.05-3.39, 4 Ta 3.32
Nd2 0.7500 0.7500 0.8593  5 Ru 3.05-3.39, 4 Ta 3.32
Ta1 0.2500 0.7500 0.5000  4 Ru 2.59
Ta2 0.7500 0.2500 0.5000  4 Ru 2.59
Ru1 0.2500 0.2500 0.6896  4 Ta 2.59
Ru2 0.7500 0.7500 0.3104  4 Ta 2.59

[8]
Below is a geometry-optimized TbNd8Ru2 structure, with properties calculated at the GGA-PBE level.

Computed properties:
Energy relative to the elements   0.010 eV per atom
Total magnetic moment   0.00 μB per formula unit
Calculated density   6.8 g/cm³

Cell lengths 7.6499, 7.6499, 7.4335 Å; angles 108.72, 108.72, 68.13 degrees
Closest atoms and distances in Å follow each position.
Atoms (fractional coordinates):
Tb1 0.0000 0.0000 0.0000  2 Ru 3.00, 2 Nd 3.21
Nd1 0.1223 0.1223 0.6944  1 Ru 2.68
Nd2 0.1903 0.5808 0.6966  2 Ru 2.78-3.10
Nd3 0.3286 0.3286 0.1891  1 Ru 2.74
Nd4 0.4192 0.8097 0.3034  2 Ru 2.78-3.10
Nd5 0.5808 0.1903 0.6966  2 Ru 2.78-3.10
Nd6 0.6714 0.6714 0.8109  1 Ru 2.74
Nd7 0.8097 0.4192 0.3034  2 Ru 2.78-3.10
Nd8 0.8777 0.8777 0.3056  1 Ru 2.68
Ru1 0.1908 0.1908 0.3956  4 Nd 2.68-2.78, 1 Tb 3.00
Ru2 0.8092 0.8092 0.6044  4 Nd 2.68-2.78, 1 Tb 3.00

[9]
Below is a geometry-optimized Tb3Nd5Ru2 structure, with properties calculated at the GGA-PBE level.

Computed properties:
Energy relative to the elements   -0.074 eV per atom
Total magnetic moment   0.00 μB per formula unit
Calculated density   7.3 g/cm³

Cell lengths 10.0569, 10.0569, 10.0569 Å; angles 117.50, 81.93, 132.74 degrees
Closest atoms and distances in Å follow each position.
Atoms (fractional coordinates):
Tb1 0.1270 0.7416 0.8687  1 Ru 2.68
Tb2 0.2500 0.2500 0.0000  4 Ru 2.80
Tb3 0.3730 0.2416 0.6146  1 Ru 2.68
Tb4 0.6270 0.7584 0.3854  1 Ru 2.68
Tb5 0.7500 0.7500 0.0000  4 Ru 2.80
Tb6 0.8730 0.2584 0.1313  1 Ru 2.68
Nd1 0.0037 0.7500 0.2537  2 Ru 2.77
Nd2 0.1179 0.2598 0.3777  1 Ru 2.73
Nd3 0.2500 0.7500 0.5000  8 Nd 3.68-4.03, 4 Tb 3.76
Nd4 0.3821 0.7598 0.1419  1 Ru 2.73
Nd5 0.4963 0.7500 0.7463  2 Ru 2.77
Nd6 0.5037 0.2500 0.2537  2 Ru 2.77
Nd7 0.6179 0.2402 0.8581  1 Ru 2.73
Nd8 0.7500 0.2500 0.5000  8 Nd 3.68-4.03, 4 Tb 3.76
Nd9 0.8821 0.7402 0.6223  1 Ru 2.73
Nd10 0.9963 0.2500 0.7463  2 Ru 2.77
Ru1 0.1283 0.9983 0.1266  3 Tb 2.68-2.80, 3 Nd 2.73-2.77
Ru2 0.3717 0.4983 0.8700  3 Tb 2.68-2.80, 3 Nd 2.73-2.77
Ru3 0.6283 0.5017 0.1300  3 Tb 2.68-2.80, 3 Nd 2.73-2.77
Ru4 0.8717 0.0017 0.8734  3 Tb 2.68-2.80, 3 Nd 2.73-2.77

[10]
Below is a geometry-optimized Tb3NdRu structure, with properties calculated at the GGA-PBE level.

Computed properties:
Energy relative to the elements   -0.064 eV per atom
Total magnetic moment   0.92 μB per formula unit
Calculated density   7.5 g/cm³

Cell lengths 5.4275, 5.4275, 5.4275 Å; angles 90.00, 90.00, 90.00 degrees
Closest atoms and distances in Å follow each position.
Atoms (fractional coordinates):
Tb1 0.0000 0.0000 0.5000  2 Ru 2.71
Tb2 0.0000 0.5000 0.0000  2 Ru 2.71
Tb3 0.5000 0.0000 0.0000  2 Ru 2.71
Nd1 0.5000 0.5000 0.5000  12 Tb 3.84
Ru1 0.0000 0.0000 0.0000  6 Tb 2.71

[11]
Below is a geometry-optimized Tb4Nd3Ru4 structure, with properties calculated at the GGA-PBE level.

Computed properties:
Energy relative to the elements   -0.212 eV per atom
Total magnetic moment   0.00 μB per formula unit
Calculated density   9.0 g/cm³

Cell lengths 9.4433, 9.4433, 9.4433 Å; angles 157.40, 122.75, 62.34 degrees
Closest atoms and distances in Å follow each position.
Atoms (fractional coordinates):
Tb1 0.0227 0.8338 0.1888  4 Ru 2.79-3.11
Tb2 0.3550 0.1662 0.1888  4 Ru 2.79-3.11
Tb3 0.6450 0.8338 0.8112  4 Ru 2.79-3.11
Tb4 0.9773 0.1662 0.8112  4 Ru 2.79-3.11
Nd1 0.0000 0.5000 0.5000  4 Ru 3.07
Nd2 0.3993 0.3993 0.0000  6 Ru 3.02-3.22, 1 Nd 3.25
Nd3 0.6007 0.6007 0.0000  6 Ru 3.02-3.22, 1 Nd 3.25
Ru1 0.2518 0.7518 0.5000  6 Tb 2.87-3.11, 2 Nd 3.02
Ru2 0.2712 0.0000 0.2712  2 Tb 2.79, 2 Nd 3.07
Ru3 0.7288 0.0000 0.7288  2 Tb 2.79, 2 Nd 3.07
Ru4 0.7482 0.2482 0.5000  6 Tb 2.87-3.11, 2 Nd 3.02

[12]
Below is a geometry-optimized Tb3NdRu structure, with properties calculated at the GGA-PBE level.

Computed properties:
Energy relative to the elements   -0.161 eV per atom
Total magnetic moment   0.00 μB per formula unit
Calculated density   8.2 g/cm³

Cell lengths 7.1519, 7.1519, 11.0285 Å; angles 90.25, 90.25, 31.07 degrees
Closest atoms and distances in Å follow each position.
Atoms (fractional coordinates):
Tb1 0.0596 0.0596 0.1252  4 Ru 2.86-2.99
Tb2 0.2221 0.2221 0.8587  2 Ru 2.73
Tb3 0.4363 0.4363 0.3457  1 Ru 2.95
Tb4 0.5637 0.5637 0.6543  1 Ru 2.95
Tb5 0.7779 0.7779 0.1413  2 Ru 2.73
Tb6 0.9404 0.9404 0.8748  4 Ru 2.86-2.99
Nd1 0.1731 0.1731 0.4099  4 Nd 3.47-3.83, 8 Tb 3.50-3.85
Nd2 0.8269 0.8269 0.5901  4 Nd 3.47-3.83, 8 Tb 3.50-3.85
Ru1 0.4097 0.4097 0.0797  7 Tb 2.73-2.99, 1 Ru 3.05
Ru2 0.5903 0.5903 0.9203  7 Tb 2.73-2.99, 1 Ru 3.05